# 1
# Hf6Sb2Pb PBE relaxed
# * space-group type: No. 58
# * uncorrected formation energy: -0.1873 eV per atom
# * crystal system: orthorhombic
# * DOS(E_F): 6.04 states/eV/f.u.
data_Hf6Sb2Pb
_chemical_formula_sum 'Hf12 Sb4 Pb2'
_cell_length_a 8.6505
_cell_length_b 9.0782
_cell_length_c 5.0638
_cell_angle_alpha 90.00
_cell_angle_beta 90.00
_cell_angle_gamma 90.00
_space_group_name_H-M_alt 'P 1'
_space_group_IT_number 1
loop_
_space_group_symop_operation_xyz
'x,y,z'
loop_
_atom_site_label
_atom_site_type_symbol
_atom_site_fract_x
_atom_site_fract_y
_atom_site_fract_z
Hf1 Hf 0.0020 0.1633 0.0000
Hf2 Hf 0.1621 0.4137 0.5000
Hf3 Hf 0.1664 0.0751 0.5000
Hf4 Hf 0.3336 0.5751 0.0000
Hf5 Hf 0.3379 0.9137 0.0000
Hf6 Hf 0.4980 0.6633 0.5000
Hf7 Hf 0.5020 0.3367 0.5000
Hf8 Hf 0.6621 0.0863 0.0000
Hf9 Hf 0.6664 0.4249 0.0000
Hf10 Hf 0.8336 0.9249 0.5000
Hf11 Hf 0.8379 0.5863 0.5000
Hf12 Hf 0.9980 0.8367 0.0000
Sb1 Sb 0.1638 0.7483 0.5000
Sb2 Sb 0.3362 0.2483 0.0000
Sb3 Sb 0.6638 0.7517 0.0000
Sb4 Sb 0.8362 0.2517 0.5000
Pb1 Pb 0.0000 0.5000 0.0000
Pb2 Pb 0.5000 0.0000 0.5000

# 2
# Hf8SbPb2 PBE relaxed
# * space-group type: No. 12
# * uncorrected formation energy: -0.0967 eV per atom
# * crystal system: monoclinic
# * DOS(E_F): 11.06 states/eV/f.u.
data_Hf8SbPb2
_chemical_formula_sum 'Hf8 Sb1 Pb2'
_cell_length_a 8.2942
_cell_length_b 8.2942
_cell_length_c 7.4595
_cell_angle_alpha 108.55
_cell_angle_beta 108.55
_cell_angle_gamma 30.71
_space_group_name_H-M_alt 'P 1'
_space_group_IT_number 1
loop_
_space_group_symop_operation_xyz
'x,y,z'
loop_
_atom_site_label
_atom_site_type_symbol
_atom_site_fract_x
_atom_site_fract_y
_atom_site_fract_z
Hf1 Hf 0.0453 0.0453 0.2434
Hf2 Hf 0.1376 0.1376 0.6912
Hf3 Hf 0.3203 0.3203 0.5805
Hf4 Hf 0.4155 0.4155 0.0533
Hf5 Hf 0.5845 0.5845 0.9467
Hf6 Hf 0.6797 0.6797 0.4195
Hf7 Hf 0.8624 0.8624 0.3088
Hf8 Hf 0.9547 0.9547 0.7566
Sb1 Sb 0.5000 0.5000 0.5000
Pb1 Pb 0.2200 0.2200 0.1499
Pb2 Pb 0.7800 0.7800 0.8501

# 3
# SrHf2SbPb PBE relaxed
# * space-group type: No. 123
# * uncorrected formation energy: 0.8162 eV per atom
# * crystal system: tetragonal
# * DOS(E_F): 4.78 states/eV/f.u.
data_SrHf2SbPb
_chemical_formula_sum 'Sr1 Hf2 Sb1 Pb1'
_cell_length_a 5.4052
_cell_length_b 5.4052
_cell_length_c 6.0148
_cell_angle_alpha 90.00
_cell_angle_beta 90.00
_cell_angle_gamma 90.00
_space_group_name_H-M_alt 'P 1'
_space_group_IT_number 1
loop_
_space_group_symop_operation_xyz
'x,y,z'
loop_
_atom_site_label
_atom_site_type_symbol
_atom_site_fract_x
_atom_site_fract_y
_atom_site_fract_z
Sr1 Sr 0.0000 0.0000 0.0000
Hf1 Hf 0.0000 0.5000 0.5000
Hf2 Hf 0.5000 0.0000 0.5000
Sb1 Sb 0.5000 0.5000 0.0000
Pb1 Pb 0.0000 0.0000 0.5000

# 4
# HfSb2TePb PBE relaxed
# * space-group type: No. 123
# * uncorrected formation energy: 0.1447 eV per atom
# * crystal system: tetragonal
# * DOS(E_F): 4.76 states/eV/f.u.
# * excess energy over the best structure of this formula in the dataset: 0.000 eV per atom
data_HfSb2TePb
_chemical_formula_sum 'Hf1 Sb2 Te1 Pb1'
_cell_length_a 5.7603
_cell_length_b 5.7603
_cell_length_c 5.7154
_cell_angle_alpha 90.00
_cell_angle_beta 90.00
_cell_angle_gamma 90.00
_space_group_name_H-M_alt 'P 1'
_space_group_IT_number 1
loop_
_space_group_symop_operation_xyz
'x,y,z'
loop_
_atom_site_label
_atom_site_type_symbol
_atom_site_fract_x
_atom_site_fract_y
_atom_site_fract_z
Hf1 Hf 0.0000 0.0000 0.0000
Sb1 Sb 0.0000 0.5000 0.0000
Sb2 Sb 0.5000 0.0000 0.0000
Te1 Te 0.0000 0.0000 0.5000
Pb1 Pb 0.5000 0.5000 0.5000

# 5
# HfSbTe2Pb PBE relaxed
# * space-group type: No. 123
# * uncorrected formation energy: -0.0115 eV per atom
# * crystal system: tetragonal
# * DOS(E_F): 1.76 states/eV/f.u.
# * excess energy over the best structure of this formula in the dataset: 0.000 eV per atom
data_HfSbTe2Pb
_chemical_formula_sum 'Hf1 Sb1 Te2 Pb1'
_cell_length_a 5.7247
_cell_length_b 5.7247
_cell_length_c 5.7888
_cell_angle_alpha 90.00
_cell_angle_beta 90.00
_cell_angle_gamma 90.00
_space_group_name_H-M_alt 'P 1'
_space_group_IT_number 1
loop_
_space_group_symop_operation_xyz
'x,y,z'
loop_
_atom_site_label
_atom_site_type_symbol
_atom_site_fract_x
_atom_site_fract_y
_atom_site_fract_z
Hf1 Hf 0.0000 0.0000 0.0000
Sb1 Sb 0.0000 0.0000 0.5000
Te1 Te 0.0000 0.5000 0.0000
Te2 Te 0.5000 0.0000 0.0000
Pb1 Pb 0.5000 0.5000 0.5000

# 6
# HfScPb2 PBE relaxed
# * space-group type: No. 122
# * crystal system: tetragonal
# * DOS(E_F): 3.02 states/eV/f.u.
# * excess energy over the best structure of this formula in the dataset: 0.162 eV per atom
data_HfScPb2
_chemical_formula_sum 'Hf2 Sc2 Pb4'
_cell_length_a 6.5211
_cell_length_b 6.5211
_cell_length_c 6.5211
_cell_angle_alpha 104.20
_cell_angle_beta 104.20
_cell_angle_gamma 120.63
_space_group_name_H-M_alt 'P 1'
_space_group_IT_number 1
loop_
_space_group_symop_operation_xyz
'x,y,z'
loop_
_atom_site_label
_atom_site_type_symbol
_atom_site_fract_x
_atom_site_fract_y
_atom_site_fract_z
Hf1 Hf 0.0000 0.0000 0.0000
Hf2 Hf 0.7500 0.2500 0.5000
Sc1 Sc 0.2500 0.7500 0.5000
Sc2 Sc 0.5000 0.5000 0.0000
Pb1 Pb 0.1244 0.6250 0.9994
Pb2 Pb 0.3750 0.3744 0.4994
Pb3 Pb 0.6256 0.1250 0.0006
Pb4 Pb 0.8750 0.8756 0.5006

# 7
# HfScPb2 PBE relaxed
# * space-group type: No. 160
# * crystal system: trigonal
# * DOS(E_F): 2.70 states/eV/f.u.
# * excess energy over the best structure of this formula in the dataset: 0.125 eV per atom
data_HfScPb2
_chemical_formula_sum 'Hf1 Sc1 Pb2'
_cell_length_a 6.6185
_cell_length_b 6.6185
_cell_length_c 6.6185
_cell_angle_alpha 40.17
_cell_angle_beta 40.17
_cell_angle_gamma 40.17
_space_group_name_H-M_alt 'P 1'
_space_group_IT_number 1
loop_
_space_group_symop_operation_xyz
'x,y,z'
loop_
_atom_site_label
_atom_site_type_symbol
_atom_site_fract_x
_atom_site_fract_y
_atom_site_fract_z
Hf1 Hf 0.0000 0.0000 0.0000
Sc1 Sc 0.8204 0.8204 0.8204
Pb1 Pb 0.2394 0.2394 0.2394
Pb2 Pb 0.4107 0.4107 0.4107

# 8
# Hf3ScPb PBE relaxed
# * space-group type: No. 221
# * crystal system: cubic
# * DOS(E_F): 9.26 states/eV/f.u.
# * excess energy over the best structure of this formula in the dataset: 0.047 eV per atom
data_Hf3ScPb
_chemical_formula_sum 'Hf3 Sc1 Pb1'
_cell_length_a 5.3285
_cell_length_b 5.3285
_cell_length_c 5.3285
_cell_angle_alpha 90.00
_cell_angle_beta 90.00
_cell_angle_gamma 90.00
_space_group_name_H-M_alt 'P 1'
_space_group_IT_number 1
loop_
_space_group_symop_operation_xyz
'x,y,z'
loop_
_atom_site_label
_atom_site_type_symbol
_atom_site_fract_x
_atom_site_fract_y
_atom_site_fract_z
Hf1 Hf 0.0000 0.0000 0.5000
Hf2 Hf 0.0000 0.5000 0.0000
Hf3 Hf 0.5000 0.0000 0.0000
Sc1 Sc 0.5000 0.5000 0.5000
Pb1 Pb 0.0000 0.0000 0.0000

# 9
# HfScPb PBE relaxed
# * space-group type: No. 107
# * crystal system: tetragonal
# * DOS(E_F): 3.99 states/eV/f.u.
# * excess energy over the best structure of this formula in the dataset: 0.175 eV per atom
data_HfScPb
_chemical_formula_sum 'Hf1 Sc1 Pb1'
_cell_length_a 5.9492
_cell_length_b 5.9492
_cell_length_c 5.9492
_cell_angle_alpha 144.63
_cell_angle_beta 144.63
_cell_angle_gamma 50.89
_space_group_name_H-M_alt 'P 1'
_space_group_IT_number 1
loop_
_space_group_symop_operation_xyz
'x,y,z'
loop_
_atom_site_label
_atom_site_type_symbol
_atom_site_fract_x
_atom_site_fract_y
_atom_site_fract_z
Hf1 Hf 0.0000 0.0000 0.0000
Sc1 Sc 0.3349 0.3349 0.0000
Pb1 Pb 0.6690 0.6690 0.0000

# 10
# HfScPb PBE relaxed
# * space-group type: No. 156
# * crystal system: trigonal
# * DOS(E_F): 3.78 states/eV/f.u.
# * excess energy over the best structure of this formula in the dataset: 0.363 eV per atom
data_HfScPb
_chemical_formula_sum 'Hf1 Sc1 Pb1'
_cell_length_a 5.0013
_cell_length_b 5.0013
_cell_length_c 3.3490
_cell_angle_alpha 90.00
_cell_angle_beta 90.00
_cell_angle_gamma 120.00
_space_group_name_H-M_alt 'P 1'
_space_group_IT_number 1
loop_
_space_group_symop_operation_xyz
'x,y,z'
loop_
_atom_site_label
_atom_site_type_symbol
_atom_site_fract_x
_atom_site_fract_y
_atom_site_fract_z
Hf1 Hf 0.0000 0.0000 0.0000
Sc1 Sc 0.3333 0.6667 0.5417
Pb1 Pb 0.6667 0.3333 0.2591

| no. | total moment (μB/atom) | E (eV/cell) |
| --- | --- | --- |
| 1 | 0.000 | -146.7 |
| 2 | 0.000 | -92.2 |
| 3 | 0.448 | -25.3 |
| 4 | 0.000 | -24.3 |
| 5 | 0.000 | -24.1 |
| 6 | 0.000 | -46.9 |
| 7 | 0.000 | -23.6 |
| 8 | 0.000 | -33.8 |
| 9 | 0.000 | -20.3 |
| 10 | 0.001 | -19.8 |